[1]
Na6Sn3P: relaxed, PBE.

Cell and atoms, written as POSCAR:
```
Na6Sn3P
1.0
9.176 0.000 0.000
0.000 6.286 0.000
-8.817 0.000 9.701
Na Sn P
12 6 2
Direct
0.097 0.113 0.429 Na
0.097 0.387 0.929 Na
0.254 0.575 0.439 Na
0.254 0.925 0.939 Na
0.373 0.743 0.231 Na
0.373 0.757 0.731 Na
0.627 0.243 0.269 Na
0.627 0.257 0.769 Na
0.746 0.075 0.061 Na
0.746 0.425 0.561 Na
0.903 0.613 0.071 Na
0.903 0.887 0.571 Na
0.233 0.230 0.236 Sn
0.233 0.270 0.736 Sn
0.500 0.000 0.500 Sn
0.500 0.500 0.000 Sn
0.767 0.730 0.264 Sn
0.767 0.770 0.764 Sn
0.000 0.000 0.000 P
0.000 0.500 0.500 P
```

Properties
The energy relative to the elements comes out at -0.1663 eV per atom. As for the crystal system: monoclinic. Its space group is P2_1/c.

[2]
Na2SnP2: relaxed, PBE.

Cell and atoms, written as POSCAR:
```
Na2SnP2
1.0
8.306 0.000 0.000
0.000 8.306 0.000
0.000 0.000 2.961
Na Sn P
4 2 4
Direct
0.120 0.380 0.000 Na
0.380 0.880 0.000 Na
0.620 0.120 0.000 Na
0.880 0.620 0.000 Na
0.000 0.000 0.500 Sn
0.500 0.500 0.500 Sn
0.180 0.680 0.500 P
0.320 0.180 0.500 P
0.680 0.820 0.500 P
0.820 0.320 0.500 P
```

Properties
For the polymorph energy (0 for the lowest one), the calculation gives 237 meV per atom. The energy relative to the elements comes out at -0.0356 eV per atom. As for the crystal system: tetragonal. Its space group is P4/mbm.

[3]
NaSn2P2: relaxed, PBE.

Cell and atoms, written as POSCAR:
```
NaSn2P2
1.0
7.674 0.000 0.000
0.000 7.674 0.000
0.000 0.000 3.761
Na Sn P
2 4 4
Direct
0.000 0.000 0.000 Na
0.500 0.500 0.000 Na
0.149 0.351 0.500 Sn
0.351 0.851 0.500 Sn
0.649 0.149 0.500 Sn
0.851 0.649 0.500 Sn
0.153 0.653 0.000 P
0.347 0.153 0.000 P
0.653 0.847 0.000 P
0.847 0.347 0.000 P
```

Properties
The energy relative to the elements comes out at 0.0391 eV per atom. As for the crystal system: tetragonal. Its space group is P4/mbm.

[4]
Na2Sn2P: relaxed, PBE.

Cell and atoms, written as POSCAR:
```
Na2Sn2P
1.0
7.240 0.000 0.000
0.000 7.240 0.000
0.000 0.000 5.146
Na Sn P
4 4 2
Direct
0.168 0.332 0.000 Na
0.332 0.832 0.000 Na
0.668 0.168 0.000 Na
0.832 0.668 0.000 Na
0.144 0.644 0.500 Sn
0.356 0.144 0.500 Sn
0.644 0.856 0.500 Sn
0.856 0.356 0.500 Sn
0.000 0.000 0.500 P
0.500 0.500 0.500 P
```

Properties
The energy relative to the elements comes out at -0.0146 eV per atom. As for the crystal system: tetragonal. Its space group is P4/mbm.

[5]
NaSrSnP2: relaxed, PBE.

Cell and atoms, written as POSCAR:
```
NaSrSnP2
1.0
7.603 -2.428 0.000
7.603 2.428 0.000
-1.111 0.000 8.459
Na Sr Sn P
2 2 2 4
Direct
0.191 0.191 0.080 Na
0.809 0.809 0.920 Na
0.105 0.105 0.679 Sr
0.895 0.895 0.321 Sr
0.443 0.443 0.804 Sn
0.557 0.557 0.196 Sn
0.092 0.092 0.323 P
0.382 0.382 0.096 P
0.618 0.618 0.904 P
0.908 0.908 0.677 P
```

Properties
The energy relative to the elements comes out at -0.4385 eV per atom. As for the crystal system: monoclinic. Its space group is C2/m.

[6]
Na2Sr6P: relaxed, PBE.

Cell and atoms, written as POSCAR:
```
Na2Sr6P
1.0
8.430 0.000 0.000
0.000 8.427 0.000
-8.416 0.000 12.066
Na Sr P
4 12 2
Direct
0.248 0.005 0.250 Na
0.248 0.495 0.750 Na
0.752 0.505 0.250 Na
0.752 0.995 0.750 Na
0.221 0.229 0.993 Sr
0.221 0.271 0.493 Sr
0.264 0.000 0.748 Sr
0.264 0.500 0.248 Sr
0.265 0.728 0.993 Sr
0.265 0.772 0.493 Sr
0.735 0.228 0.507 Sr
0.735 0.272 0.007 Sr
0.736 0.000 0.252 Sr
0.736 0.500 0.752 Sr
0.779 0.729 0.507 Sr
0.779 0.771 0.007 Sr
0.000 0.000 0.500 P
0.000 0.500 0.000 P
```

Properties
The energy relative to the elements comes out at -0.2504 eV per atom. As for the crystal system: monoclinic. Its space group is P2_1/c.

[7]
Na2Sr3P4: relaxed, PBE.

Cell and atoms, written as POSCAR:
```
Na2Sr3P4
1.0
8.027 0.000 0.000
0.000 7.403 0.000
-7.986 0.000 15.246
Na Sr P
8 12 16
Direct
0.200 0.190 0.378 Na
0.200 0.310 0.878 Na
0.262 0.634 0.750 Na
0.262 0.866 0.250 Na
0.738 0.134 0.750 Na
0.738 0.366 0.250 Na
0.800 0.690 0.122 Na
0.800 0.810 0.622 Na
0.058 0.687 0.371 Sr
0.058 0.813 0.871 Sr
0.298 0.541 0.102 Sr
0.298 0.959 0.602 Sr
0.410 0.041 0.101 Sr
0.410 0.459 0.601 Sr
0.590 0.541 0.399 Sr
0.590 0.959 0.899 Sr
0.702 0.041 0.398 Sr
0.702 0.459 0.898 Sr
0.942 0.187 0.129 Sr
0.942 0.313 0.629 Sr
0.010 0.634 0.536 P
0.010 0.866 0.036 P
0.176 0.019 0.752 P
0.176 0.481 0.252 P
0.369 0.240 0.749 P
0.369 0.260 0.249 P
0.434 0.631 0.963 P
0.434 0.869 0.463 P
0.566 0.131 0.537 P
0.566 0.369 0.037 P
0.631 0.740 0.751 P
0.631 0.760 0.251 P
0.824 0.519 0.748 P
0.824 0.981 0.248 P
0.990 0.134 0.964 P
0.990 0.366 0.464 P
```

Properties
The energy relative to the elements comes out at -0.8285 eV per atom. As for the crystal system: monoclinic. Its space group is P2_1/c.

[8]
NaSr3P: relaxed, PBE.

Cell and atoms, written as POSCAR:
```
NaSr3P
1.0
6.017 0.000 0.000
0.000 6.017 0.000
0.000 0.000 6.017
Na Sr P
1 3 1
Direct
0.000 0.000 0.000 Na
0.000 0.500 0.500 Sr
0.500 0.000 0.500 Sr
0.500 0.500 0.000 Sr
0.500 0.500 0.500 P
```

Properties
For the polymorph energy (0 for the lowest one), the calculation gives 0 meV per atom. The energy relative to the elements comes out at -0.4903 eV per atom. As for the crystal system: cubic. Its space group is Pm-3m.

[9]
NaSr2P2: relaxed, PBE.

Cell and atoms, written as POSCAR:
```
NaSr2P2
1.0
-2.912 2.912 4.489
2.912 -2.912 4.489
2.912 2.912 -4.489
Na Sr P
1 2 2
Direct
0.000 0.000 0.000 Na
0.250 0.750 0.500 Sr
0.750 0.250 0.500 Sr
0.365 0.365 0.000 P
0.635 0.635 0.000 P
```

Properties
For the polymorph energy (0 for the lowest one), the calculation gives 246 meV per atom. The energy relative to the elements comes out at -0.4731 eV per atom. As for the crystal system: tetragonal. Its space group is I4/mmm.

[10]
NaSrP3: relaxed, PBE.

Cell and atoms, written as POSCAR:
```
NaSrP3
1.0
5.548 0.000 0.000
0.000 5.548 0.000
0.000 0.000 5.548
Na Sr P
1 1 3
Direct
0.000 0.000 0.000 Na
0.500 0.500 0.500 Sr
0.000 0.500 0.500 P
0.500 0.000 0.500 P
0.500 0.500 0.000 P
```

Properties
For the polymorph energy (0 for the lowest one), the calculation gives 379 meV per atom. The energy relative to the elements comes out at 0.8486 eV per atom. As for the crystal system: cubic. Its space group is Pm-3m.

[11]
NaSrP3: relaxed, PBE.

Cell and atoms, written as POSCAR:
```
NaSrP3
1.0
4.945 0.000 0.000
0.000 4.945 0.000
0.000 0.000 4.945
Na Sr P
1 1 3
Direct
0.000 0.000 0.000 Na
0.500 0.500 0.500 Sr
0.000 0.000 0.500 P
0.000 0.500 0.000 P
0.500 0.000 0.000 P
```

Properties
For the polymorph energy (0 for the lowest one), the calculation gives 0 meV per atom. The energy relative to the elements comes out at 0.4692 eV per atom. As for the crystal system: cubic. Its space group is Pm-3m.

[12]
NaSr2P2: relaxed, PBE.

Cell and atoms, written as POSCAR:
```
NaSr2P2
1.0
8.763 0.000 0.000
0.000 8.763 0.000
0.000 0.000 3.546
Na Sr P
2 4 4
Direct
0.000 0.000 0.000 Na
0.500 0.500 0.000 Na
0.134 0.366 0.000 Sr
0.366 0.866 0.000 Sr
0.634 0.134 0.000 Sr
0.866 0.634 0.000 Sr
0.166 0.666 0.500 P
0.334 0.166 0.500 P
0.666 0.834 0.500 P
0.834 0.334 0.500 P
```

Properties
For the polymorph energy (0 for the lowest one), the calculation gives 108 meV per atom. The energy relative to the elements comes out at -0.6114 eV per atom. As for the crystal system: tetragonal. Its space group is P4/mbm.

[13]
NaSr2P2: relaxed, PBE.

Cell and atoms, written as POSCAR:
```
NaSr2P2
1.0
8.635 0.000 0.000
0.000 8.635 0.000
0.000 0.000 3.684
Na Sr P
2 4 4
Direct
0.000 0.000 0.000 Na
0.500 0.500 0.000 Na
0.138 0.362 0.500 Sr
0.362 0.862 0.500 Sr
0.638 0.138 0.500 Sr
0.862 0.638 0.500 Sr
0.165 0.665 0.000 P
0.335 0.165 0.000 P
0.665 0.835 0.000 P
0.835 0.335 0.000 P
```

Properties
For the polymorph energy (0 for the lowest one), the calculation gives 0 meV per atom. The energy relative to the elements comes out at -0.7193 eV per atom. As for the crystal system: tetragonal. Its space group is P4/mbm.

[14]
NaSr3P: relaxed, PBE.

Cell and atoms, written as POSCAR:
```
NaSr3P
1.0
6.076 0.000 0.000
0.000 6.076 0.000
0.000 0.000 6.076
Na Sr P
1 3 1
Direct
0.000 0.000 0.000 Na
0.000 0.000 0.500 Sr
0.000 0.500 0.000 Sr
0.500 0.000 0.000 Sr
0.500 0.500 0.500 P
```

Properties
For the polymorph energy (0 for the lowest one), the calculation gives 1067 meV per atom. The energy relative to the elements comes out at 0.5765 eV per atom. As for the crystal system: cubic. Its space group is Pm-3m.

[15]
NaSr3P: relaxed, PBE.

Cell and atoms, written as POSCAR:
```
NaSr3P
1.0
7.024 -3.079 0.000
7.024 3.079 0.000
-3.656 0.000 9.924
Na Sr P
2 6 2
Direct
0.100 0.100 0.434 Na
0.900 0.900 0.566 Na
0.142 0.142 0.933 Sr
0.348 0.348 0.339 Sr
0.404 0.404 0.805 Sr
0.596 0.596 0.195 Sr
0.652 0.652 0.661 Sr
0.858 0.858 0.067 Sr
0.370 0.370 0.071 P
0.630 0.630 0.929 P
```

Properties
For the polymorph energy (0 for the lowest one), the calculation gives 5 meV per atom. The energy relative to the elements comes out at -0.4850 eV per atom. As for the crystal system: monoclinic. Its space group is C2/m.

[16]
Na5SrTaP4: relaxed, PBE.

Cell and atoms, written as POSCAR:
```
Na5SrTaP4
1.0
4.670 -8.076 0.000
4.670 8.076 0.000
-0.049 0.000 7.384
Na Sr Ta P
10 2 2 8
Direct
0.033 0.967 0.500 Na
0.036 0.572 0.502 Na
0.216 0.358 0.346 Na
0.358 0.216 0.846 Na
0.373 0.651 0.836 Na
0.572 0.036 0.002 Na
0.651 0.373 0.336 Na
0.659 0.797 0.316 Na
0.797 0.659 0.816 Na
0.967 0.033 0.000 Na
0.443 0.973 0.507 Sr
0.973 0.443 0.007 Sr
0.174 0.845 0.113 Ta
0.845 0.174 0.613 Ta
0.122 0.315 0.725 P
0.173 0.836 0.788 P
0.311 0.697 0.218 P
0.315 0.122 0.225 P
0.696 0.890 0.708 P
0.697 0.311 0.718 P
0.836 0.173 0.288 P
0.890 0.696 0.208 P
```

Properties
The energy relative to the elements comes out at -0.6153 eV per atom. As for the crystal system: monoclinic. Its space group is Cc.

[17]
NaSr2TaP: relaxed, PBE.

Cell and atoms, written as POSCAR:
```
NaSr2TaP
1.0
6.040 0.000 0.000
0.000 6.040 0.000
0.000 0.000 5.497
Na Sr Ta P
1 2 1 1
Direct
0.000 0.000 0.000 Na
0.000 0.500 0.500 Sr
0.500 0.000 0.500 Sr
0.000 0.000 0.500 Ta
0.500 0.500 0.000 P
```

Properties
The energy relative to the elements comes out at 1.3295 eV per atom. As for the crystal system: tetragonal. Its space group is P4/mmm.

[18]
NaSrTe2P: relaxed, PBE.

Cell and atoms, written as POSCAR:
```
NaSrTe2P
1.0
6.236 0.000 0.000
0.000 6.236 0.000
0.000 0.000 5.806
Na Sr Te P
1 1 2 1
Direct
0.000 0.000 0.000 Na
0.500 0.500 0.500 Sr
0.000 0.500 0.500 Te
0.500 0.000 0.500 Te
0.500 0.500 0.000 P
```

Properties
As for the crystal system: tetragonal. Its space group is P4/mmm.

[19]
Na2SrTiP: relaxed, PBE.

Cell and atoms, written as POSCAR:
```
Na2SrTiP
1.0
5.446 0.000 0.000
0.000 5.446 0.000
0.000 0.000 6.143
Na Sr Ti P
2 1 1 1
Direct
0.000 0.500 0.000 Na
0.500 0.000 0.000 Na
0.000 0.000 0.500 Sr
0.000 0.000 0.000 Ti
0.500 0.500 0.500 P
```

Properties
The energy relative to the elements comes out at 1.1018 eV per atom. As for the crystal system: tetragonal. Its space group is P4/mmm.

[20]
NaSr2TlP: relaxed, PBE.

Cell and atoms, written as POSCAR:
```
NaSr2TlP
1.0
5.887 0.000 0.000
0.000 5.887 0.000
0.000 0.000 5.408
Na Sr Tl P
1 2 1 1
Direct
0.000 0.000 0.000 Na
0.000 0.500 0.500 Sr
0.500 0.000 0.500 Sr
0.500 0.500 0.000 Tl
0.000 0.000 0.500 P
```

Properties
The energy relative to the elements comes out at -0.4307 eV per atom. As for the crystal system: tetragonal. Its space group is P4/mmm.

no.,total magnetic moment (μB per atom),final energy (eV per formula unit)
1,0.000,-27.00
2,0.000,-17.64
3,0.000,-19.95
4,0.000,-16.13
5,0.000,-20.02
6,0.000,-20.39
7,0.000,-36.78
8,0.000,-14.23
9,0.000,-17.87
10,0.000,-14.99
11,0.000,-16.88
12,0.000,-18.56
13,0.000,-19.10
14,0.000,-8.89
15,0.035,-14.20
16,0.000,-48.54
17,0.962,-15.30
18,0.277,-14.18
19,0.605,-12.12
20,0.000,-14.61